[1]
{"formula": "TcP5", "functional": "GGA-PBE", "state": "optimized geometry", "total_energy_ev_per_atom": -5.52, "dos_at_fermi_per_ev_cell": 3.70, "delta_e_f_ev_per_atom": 0.717, "total_magnetization_mub_per_fu": 0.973, "cell": [[4.3922, 0.0000, 0.0000], [-2.1961, 3.8038, 0.0000], [0.0000, 0.0000, 6.4796]], "species": ["Tc", "P", "P", "P", "P", "P"], "frac_coords": [[0.0000, 0.0000, 0.0000], [0.0000, 0.5000, 0.5000], [0.3333, 0.6667, 0.0000], [0.5000, 0.0000, 0.5000], [0.5000, 0.5000, 0.5000], [0.6667, 0.3333, 0.0000]]}

[2]
{"formula": "TcP2", "functional": "GGA-PBE", "state": "optimized geometry", "total_energy_ev_per_atom": -7.32, "dos_at_fermi_per_ev_cell": 1.63, "delta_e_f_ev_per_atom": -0.263, "total_magnetization_mub_per_fu": 0.000, "cell": [[3.0639, 0.0000, 0.0000], [-1.5320, 2.6534, 0.0000], [0.0000, 0.0000, 5.1182]], "species": ["Tc", "P", "P"], "frac_coords": [[0.0000, 0.0000, 0.0000], [0.3333, 0.6667, 0.3294], [0.6667, 0.3333, 0.6706]]}

[3]
{"formula": "TcP2", "functional": "GGA-PBE", "state": "optimized geometry", "total_energy_ev_per_atom": -6.96, "dos_at_fermi_per_ev_cell": 2.34, "delta_e_f_ev_per_atom": 0.098, "total_magnetization_mub_per_fu": 0.000, "cell": [[4.4173, 0.0000, 0.0000], [-2.2086, 3.8255, 0.0000], [0.0000, 0.0000, 2.5300]], "species": ["Tc", "P", "P"], "frac_coords": [[0.0000, 0.0000, 0.0000], [0.3333, 0.6667, 0.0000], [0.6667, 0.3333, 0.0000]]}

[4]
{"formula": "TcP4", "functional": "GGA-PBE", "state": "optimized geometry", "total_energy_ev_per_atom": -6.06, "dos_at_fermi_per_ev_cell": 2.16, "delta_e_f_ev_per_atom": 0.339, "total_magnetization_mub_per_fu": 0.000, "cell": [[-2.8563, 2.8563, 2.1982], [2.8563, -2.8563, 2.1982], [2.8563, 2.8563, -2.1982]], "species": ["Tc", "P", "P", "P", "P"], "frac_coords": [[0.0000, 0.0000, 0.0000], [0.2367, 0.3824, 0.6191], [0.3824, 0.7633, 0.1457], [0.6176, 0.2367, 0.8543], [0.7633, 0.6176, 0.3809]]}

[5]
{"formula": "Tc3P5", "functional": "GGA-PBE", "state": "optimized geometry", "total_energy_ev_per_atom": -7.15, "dos_at_fermi_per_ev_cell": 12.90, "delta_e_f_ev_per_atom": 0.117, "total_magnetization_mub_per_fu": 0.000, "cell": [[7.5351, 0.0000, 0.0000], [-3.7676, 6.5256, 0.0000], [0.0000, 0.0000, 4.6487]], "species": ["Tc", "Tc", "Tc", "Tc", "Tc", "Tc", "P", "P", "P", "P", "P", "P", "P", "P", "P", "P"], "frac_coords": [[0.0000, 0.3715, 0.2500], [0.0000, 0.6285, 0.7500], [0.3715, 0.0000, 0.2500], [0.3715, 0.3715, 0.7500], [0.6285, 0.0000, 0.7500], [0.6285, 0.6285, 0.2500], [0.0000, 0.2647, 0.7500], [0.0000, 0.7353, 0.2500], [0.2647, 0.0000, 0.7500], [0.2647, 0.2647, 0.2500], [0.3333, 0.6667, 0.0000], [0.3333, 0.6667, 0.5000], [0.6667, 0.3333, 0.0000], [0.6667, 0.3333, 0.5000], [0.7353, 0.0000, 0.2500], [0.7353, 0.7353, 0.7500]]}

[6]
{"formula": "TcP", "functional": "GGA-PBE", "state": "optimized geometry", "total_energy_ev_per_atom": -8.21, "dos_at_fermi_per_ev_cell": 4.20, "delta_e_f_ev_per_atom": -0.322, "total_magnetization_mub_per_fu": 0.000, "cell": [[4.5024, 0.0000, 0.0000], [0.0000, 6.0225, 0.0000], [0.0000, 0.0000, 9.0874]], "species": ["Tc", "Tc", "Tc", "Tc", "Tc", "Tc", "Tc", "Tc", "P", "P", "P", "P", "P", "P", "P", "P"], "frac_coords": [[0.1577, 0.0522, 0.2528], [0.1683, 0.6058, 0.9537], [0.3317, 0.3942, 0.4537], [0.3423, 0.9478, 0.7528], [0.6577, 0.4478, 0.7472], [0.6683, 0.8942, 0.0463], [0.8317, 0.1058, 0.5463], [0.8423, 0.5522, 0.2472], [0.1693, 0.9806, 0.9968], [0.1723, 0.5879, 0.6948], [0.3277, 0.4121, 0.1948], [0.3307, 0.0194, 0.4968], [0.6693, 0.5194, 0.0032], [0.6723, 0.9121, 0.3052], [0.8277, 0.0879, 0.8052], [0.8307, 0.4806, 0.5032]]}